Density functional theory data (PBE-GGA) for an optimized crystal structure of Ca3Sc.

Spin magnetization   1.060 μB per atom
Formation energy   0.973 eV per atom
SG   Pm-3m
Calculated total energy   -2.111 eV per atom
ΔE to the lowest computed polymorph   3.31 eV/f.u.
Theoretical density   1.125 Mg/m³

Cell: 6.247 6.247 6.247 Å, 90.00 90.00 90.00°
Fractional coordinates of all 4 atoms:
Ca 0.000 0.500 0.000
Sc 0.000 0.000 0.000
Ca 0.000 0.000 0.500
Ca 0.500 0.000 0.000